[1]
A plane-wave DFT calculation with PBE-GGA was carried out for crystalline Ce3YS6 at its relaxed geometry.

Values from the calculation:
crystal system: trigonal
energy above the most stable polymorph in this dataset: 0.0000 eV/atom
energy: -6.887 eV per atom
symmetry: R-3
N(E_F): 42.22 states/eV/cell

Cell and atoms, written as extended XYZ:
```
20
Lattice="5.9181 3.4168 4.6148 -5.9181 3.4168 4.6148 0.0000 -6.8336 4.6148" Properties=species:S:1:pos:R:3 pbc="T T T"
Ce -3.0019 -2.9222 6.4485
Ce -4.0317 1.1386 7.3959
Ce 1.0297 -4.0608 7.3959
Ce -1.0297 4.0608 6.4485
Ce 4.0317 -1.1386 6.4485
Ce 3.0019 2.9222 7.3959
Y 0.0000 0.0000 0.0000
Y 0.0000 0.0000 6.9222
S -5.1502 -1.4475 7.5432
S -1.3216 -5.1840 6.3013
S -2.3514 -0.2534 5.5319
S -3.8287 3.7365 6.3013
S -0.9562 -2.1630 8.3126
S 1.3951 -1.9096 5.5319
S -1.3951 1.9096 8.3126
S 0.9562 2.1630 5.5319
S 3.8287 -3.7365 7.5432
S 2.3513 0.2534 8.3126
S 1.3216 5.1840 7.5432
S 5.1502 1.4475 6.3013
```

***

[2]
A plane-wave DFT calculation with PBE-GGA was carried out for crystalline RbSrCa2Sb at its relaxed geometry.

Values from the calculation:
crystal system: tetragonal
energy: -1.249 eV per atom
symmetry: P4/mmm
N(E_F): 4.01 states/eV/cell

Cell and atoms, written as extended XYZ:
```
5
Lattice="6.0220 0.0000 0.0000 0.0000 6.0220 0.0000 0.0000 0.0000 6.3431" Properties=species:S:1:pos:R:3 pbc="T T T"
Rb 0.0000 0.0000 0.0000
Sr 0.0000 0.0000 3.1715
Ca 0.0000 3.0110 0.0000
Ca 3.0110 0.0000 0.0000
Sb 3.0110 3.0110 3.1715
```

***

[3]
A plane-wave DFT calculation with PBE-GGA was carried out for crystalline GaReGe at its relaxed geometry.

Values from the calculation:
crystal system: monoclinic
formation energy: 0.1517 eV per atom
energy above the most stable polymorph in this dataset: 0.0000 eV/atom
energy: -6.546 eV per atom
symmetry: C2/m
N(E_F): 2.99 states/eV/cell

Cell and atoms, written as extended XYZ:
```
6
Lattice="5.4531 -1.4883 0.0000 5.4531 1.4883 0.0000 -2.9643 0.0000 6.1060" Properties=species:S:1:pos:R:3 pbc="T T T"
Ga -0.1621 0.0000 1.6136
Ga 8.1041 0.0000 4.4924
Re 0.9120 0.0000 6.0544
Re 7.0299 0.0000 0.0515
Ge 2.5235 0.0000 2.0738
Ge 5.4184 0.0000 4.0322
```

***

- What is the formula in the first record?
  Ce3YS6

***

- The lowest N(E_F) belongs to which entry?
  GaReGe

***

- The lowest N(E_F) belongs to which entry?
  GaReGe

***

- Look up the N(E_F) of the third one.
  2.99 states/eV/cell